Entry from Alexandria via LeMat-Bulk: a geometry-optimized Ho4AgPd7 structure (PBE-GGA).

## Properties
**Density**: 10.04 g/cm3

a b c (Å): 5.938 5.938 10.331
angles (deg): 116.12 116.12 51.93
Fractional positions:
Ho  0.097  0.097  0.291
Ho  0.291  0.291  0.866
Ho  0.709  0.709  0.134
Ho  0.903  0.903  0.709
Ag  0.500  0.500  0.500
Pd  0.000  0.000  0.500
Pd  0.131  0.131  0.017
Pd  0.291  0.291  0.596
Pd  0.424  0.424  0.188
Pd  0.576  0.576  0.812
Pd  0.709  0.709  0.404
Pd  0.869  0.869  0.983

---

Entry from Alexandria via LeMat-Bulk: a geometry-optimized HoAg4Pd structure (PBE-GGA).

## Properties
**Density**: 10.07 g/cm3

a b c (Å): 5.472 5.472 5.472
angles (deg): 60.00 60.00 60.00
Fractional positions:
Ho  0.000  0.000  0.000
Ag  0.126  0.625  0.625
Ag  0.625  0.126  0.625
Ag  0.625  0.625  0.126
Ag  0.625  0.625  0.625
Pd  0.250  0.250  0.250

---

Entry from Alexandria via LeMat-Bulk: a geometry-optimized HoAgPd3 structure (PBE-GGA).

## Properties
**Offset from the most stable computed form**: 0 meV per atom
**Density**: 10.28 g/cm3

a b c (Å): 4.497 5.837 7.284
angles (deg): 90.00 90.00 90.00
Fractional positions:
Ho  0.250  0.250  0.168
Ho  0.750  0.750  0.832
Ag  0.250  0.750  0.448
Ag  0.750  0.250  0.552
Pd  0.250  0.022  0.755
Pd  0.250  0.478  0.755
Pd  0.250  0.750  0.078
Pd  0.750  0.250  0.922
Pd  0.750  0.522  0.245
Pd  0.750  0.978  0.245

---

Entry from Alexandria via LeMat-Bulk: a geometry-optimized Ho6AgPd5 structure (PBE-GGA).

## Properties
**Offset from the most stable computed form**: 0 meV per atom
**Density**: 10.39 g/cm3

a b c (Å): 7.824 7.824 7.066
angles (deg): 90.00 90.00 142.98
Fractional positions:
Ho  0.000  0.000  0.244
Ho  0.000  0.000  0.756
Ho  0.331  0.669  0.248
Ho  0.331  0.669  0.752
Ho  0.669  0.331  0.248
Ho  0.669  0.331  0.752
Ag  0.500  0.500  0.500
Pd  0.164  0.836  0.500
Pd  0.167  0.833  0.000
Pd  0.500  0.500  0.000
Pd  0.833  0.167  0.000
Pd  0.836  0.164  0.500

---

Entry from Alexandria via LeMat-Bulk: a geometry-optimized HoAg7Pd4 structure (PBE-GGA).

## Properties
**Density**: 9.67 g/cm3

a b c (Å): 5.962 5.962 9.926
angles (deg): 118.78 118.78 50.72
Fractional positions:
Ho  0.000  0.000  0.000
Ag  0.045  0.045  0.379
Ag  0.212  0.212  0.909
Ag  0.341  0.341  0.441
Ag  0.500  0.500  0.000
Ag  0.659  0.659  0.559
Ag  0.788  0.788  0.091
Ag  0.955  0.955  0.621
Pd  0.287  0.287  0.685
Pd  0.424  0.424  0.224
Pd  0.576  0.576  0.776
Pd  0.713  0.713  0.315

---

Entry from Alexandria via LeMat-Bulk: a geometry-optimized Ho5Ag2Pd2 structure (PBE-GGA).

## Properties
**Density**: 9.39 g/cm3

a b c (Å): 8.577 8.577 7.731
angles (deg): 90.00 90.00 51.21
Fractional positions:
Ho  0.000  0.000  0.000
Ho  0.041  0.696  0.675
Ho  0.196  0.541  0.175
Ho  0.304  0.959  0.675
Ho  0.459  0.804  0.175
Ho  0.500  0.500  0.500
Ho  0.541  0.196  0.825
Ho  0.696  0.041  0.325
Ho  0.804  0.459  0.825
Ho  0.959  0.304  0.325
Ag  0.211  0.211  0.000
Ag  0.289  0.289  0.500
Ag  0.711  0.711  0.500
Ag  0.789  0.789  0.000
Pd  0.129  0.871  0.369
Pd  0.371  0.629  0.869
Pd  0.629  0.371  0.131
Pd  0.871  0.129  0.631

---

Entry from Alexandria via LeMat-Bulk: a geometry-optimized Ho3AgPd structure (PBE-GGA).

## Properties
**Offset from the most stable computed form**: 0 meV per atom
**Density**: 9.62 g/cm3

a b c (Å): 10.080 10.080 5.002
angles (deg): 90.00 90.00 151.21
Fractional positions:
Ho  0.067  0.933  0.750
Ho  0.250  0.750  0.750
Ho  0.432  0.568  0.750
Ho  0.568  0.432  0.250
Ho  0.750  0.250  0.250
Ho  0.933  0.067  0.250
Ag  0.158  0.842  0.250
Ag  0.842  0.158  0.750
Pd  0.338  0.662  0.250
Pd  0.662  0.338  0.750

---

Entry from Alexandria via LeMat-Bulk: a geometry-optimized HoAgPd6 structure (PBE-GGA).

## Properties
**Offset from the most stable computed form**: 468 meV per atom
**Density**: 9.55 g/cm3

a b c (Å): 5.433 5.433 5.433
angles (deg): 84.68 84.68 84.68
Fractional positions:
Ho  0.000  0.000  0.000
Ag  0.500  0.500  0.500
Pd  0.161  0.161  0.532
Pd  0.161  0.532  0.161
Pd  0.468  0.839  0.839
Pd  0.532  0.161  0.161
Pd  0.839  0.468  0.839
Pd  0.839  0.839  0.468

---

Entry from Alexandria via LeMat-Bulk: a geometry-optimized Ho7AgPd4 structure (PBE-GGA).

## Properties
**Density**: 9.49 g/cm3

a b c (Å): 7.478 7.478 9.586
angles (deg): 122.67 122.67 42.55
Fractional positions:
Ho  0.000  0.000  0.000
Ho  0.202  0.202  0.651
Ho  0.286  0.286  0.116
Ho  0.433  0.433  0.628
Ho  0.567  0.567  0.372
Ho  0.714  0.714  0.884
Ho  0.798  0.798  0.349
Ag  0.500  0.500  0.000
Pd  0.064  0.064  0.769
Pd  0.200  0.200  0.346
Pd  0.800  0.800  0.654
Pd  0.936  0.936  0.231

---

Entry from Alexandria via LeMat-Bulk: a geometry-optimized Ho4AgPd structure (PBE-GGA).

## Properties
**Offset from the most stable computed form**: 222 meV per atom
**Density**: 8.54 g/cm3

a b c (Å): 4.919 4.919 7.021
angles (deg): 90.05 90.05 90.00
Fractional positions:
Ho  0.000  0.500  0.241
Ho  0.000  0.500  0.759
Ho  0.500  0.000  0.241
Ho  0.500  0.000  0.759
Ag  0.000  0.000  0.500
Pd  0.500  0.500  0.000

---

Entry from Alexandria via LeMat-Bulk: a geometry-optimized Ho2Ag2Pd structure (PBE-GGA).

## Properties
**Density**: 9.53 g/cm3

a b c (Å): 7.604 7.604 7.604
angles (deg): 129.87 68.32 136.74
Fractional positions:
Ho  0.166  0.201  0.367
Ho  0.334  0.701  0.036
Ho  0.666  0.299  0.964
Ho  0.834  0.799  0.633
Ag  0.091  0.650  0.741
Ag  0.409  0.150  0.559
Ag  0.591  0.850  0.441
Ag  0.909  0.350  0.259
Pd  0.250  0.250  0.000
Pd  0.750  0.750  0.000

---

Entry from Alexandria via LeMat-Bulk: a geometry-optimized HoAg2Pd7 structure (PBE-GGA).

## Properties
**Density**: 8.58 g/cm3

a b c (Å): 7.791 7.791 4.401
angles (deg): 90.00 90.00 125.36
Fractional positions:
Ho  0.000  0.000  0.000
Ag  0.297  0.703  0.500
Ag  0.703  0.297  0.500
Pd  0.082  0.286  0.500
Pd  0.190  0.810  0.000
Pd  0.286  0.082  0.500
Pd  0.500  0.500  0.500
Pd  0.714  0.918  0.500
Pd  0.810  0.190  0.000
Pd  0.918  0.714  0.500

---

Entry from Alexandria via LeMat-Bulk: a geometry-optimized PmHoAgPd structure (PBE-GGA).

## Properties
**Offset from the most stable computed form**: 0 meV per atom
**Density**: 8.93 g/cm3

a b c (Å): 4.757 5.726 5.726
angles (deg): 38.67 90.00 90.00
Fractional positions:
Pm  0.000  0.000  0.000
Ho  0.500  0.279  0.279
Ag  0.500  0.561  0.561
Pd  0.000  0.726  0.726

---

Entry from Alexandria via LeMat-Bulk: a geometry-optimized PmHoAgPd structure (PBE-GGA).

## Properties
**Offset from the most stable computed form**: 12 meV per atom
**Density**: 9.25 g/cm3

a b c (Å): 5.106 5.106 5.106
angles (deg): 60.00 60.00 60.00
Fractional positions:
Pm  0.000  0.000  0.000
Ho  0.500  0.500  0.500
Ag  0.750  0.750  0.750
Pd  0.250  0.250  0.250

---

Entry from Alexandria via LeMat-Bulk: a geometry-optimized HoAgPdRh structure (PBE-GGA).

## Properties
**Offset from the most stable computed form**: 0 meV per atom
**Density**: 11.32 g/cm3

a b c (Å): 3.877 4.195 4.349
angles (deg): 90.00 90.00 90.00
Fractional positions:
Ho  0.000  0.000  0.000
Ag  0.000  0.500  0.500
Pd  0.500  0.000  0.500
Rh  0.500  0.500  0.000

---

Entry from Alexandria via LeMat-Bulk: a geometry-optimized HoAgPdRh structure (PBE-GGA).

## Properties
**Offset from the most stable computed form**: 84 meV per atom
**Density**: 11.09 g/cm3

a b c (Å): 4.673 4.673 4.673
angles (deg): 60.00 60.00 60.00
Fractional positions:
Ho  0.000  0.000  0.000
Ag  0.500  0.500  0.500
Pd  0.750  0.750  0.750
Rh  0.250  0.250  0.250

---

Entry from Alexandria via LeMat-Bulk: a geometry-optimized Ho4AgPd2Rh structure (PBE-GGA).

## Properties
**Density**: 10.45 g/cm3

a b c (Å): 8.579 8.579 8.579
angles (deg): 33.59 33.59 33.59
Fractional positions:
Ho  0.120  0.120  0.120
Ho  0.371  0.371  0.371
Ho  0.629  0.629  0.629
Ho  0.880  0.880  0.880
Ag  0.500  0.500  0.500
Pd  0.249  0.249  0.249
Pd  0.751  0.751  0.751
Rh  0.000  0.000  0.000

---

Entry from Alexandria via LeMat-Bulk: a geometry-optimized HoScAgPd structure (PBE-GGA).

## Properties
**Offset from the most stable computed form**: 21 meV per atom
**Density**: 8.45 g/cm3

a b c (Å): 4.903 4.903 4.903
angles (deg): 60.00 60.00 60.00
Fractional positions:
Ho  0.000  0.000  0.000
Sc  0.500  0.500  0.500
Ag  0.750  0.750  0.750
Pd  0.250  0.250  0.250

---

Entry from Alexandria via LeMat-Bulk: a geometry-optimized HoScAgPd structure (PBE-GGA).

## Properties
**Offset from the most stable computed form**: 0 meV per atom
**Density**: 8.45 g/cm3

a b c (Å): 3.448 3.448 7.006
angles (deg): 90.00 90.00 90.00
Fractional positions:
Ho  0.000  0.000  0.000
Sc  0.000  0.000  0.480
Ag  0.500  0.500  0.718
Pd  0.500  0.500  0.259

---

Entry from Alexandria via LeMat-Bulk: a geometry-optimized HoAgSnPd structure (PBE-GGA).

## Properties
**Density**: 10.18 g/cm3

a b c (Å): 4.862 4.862 4.862
angles (deg): 60.00 60.00 60.00
Fractional positions:
Ho  0.000  0.000  0.000
Ag  0.750  0.750  0.750
Sn  0.500  0.500  0.500
Pd  0.250  0.250  0.250

---

Entry from Alexandria via LeMat-Bulk: a geometry-optimized SrHoAgPd structure (PBE-GGA).

## Properties
**Density**: 7.83 g/cm3

a b c (Å): 5.193 5.193 5.193
angles (deg): 60.00 60.00 60.00
Fractional positions:
Sr  0.000  0.000  0.000
Ho  0.500  0.500  0.500
Ag  0.250  0.250  0.250
Pd  0.750  0.750  0.750

---

Entry from Alexandria via LeMat-Bulk: a geometry-optimized HoTlAgPd structure (PBE-GGA).

## Properties
**Density**: 11.60 g/cm3

a b c (Å): 4.906 4.906 4.906
angles (deg): 60.00 60.00 60.00
Fractional positions:
Ho  0.000  0.000  0.000
Tl  0.500  0.500  0.500
Ag  0.250  0.250  0.250
Pd  0.750  0.750  0.750

---

Entry from Alexandria via LeMat-Bulk: a geometry-optimized HoTmAgPd structure (PBE-GGA).

## Properties
**Offset from the most stable computed form**: 15 meV per atom
**Density**: 10.28 g/cm3

a b c (Å): 5.004 5.004 5.004
angles (deg): 60.00 60.00 60.00
Fractional positions:
Ho  0.000  0.000  0.000
Tm  0.500  0.500  0.500
Ag  0.750  0.750  0.750
Pd  0.250  0.250  0.250

---

Entry from Alexandria via LeMat-Bulk: a geometry-optimized HoTmAgPd structure (PBE-GGA).

## Properties
**Offset from the most stable computed form**: 0 meV per atom
**Density**: 10.23 g/cm3

a b c (Å): 3.529 3.529 7.144
angles (deg): 90.00 90.00 90.00
Fractional positions:
Ho  0.000  0.000  0.000
Tm  0.000  0.000  0.479
Ag  0.500  0.500  0.735
Pd  0.500  0.500  0.245

---

Entry from Alexandria via LeMat-Bulk: a geometry-optimized YHoAgPd structure (PBE-GGA).

## Properties
**Offset from the most stable computed form**: 0 meV per atom
**Density**: 8.53 g/cm3

a b c (Å): 3.557 3.557 7.201
angles (deg): 90.00 90.00 90.00
Fractional positions:
Y  0.000  0.000  0.000
Ho  0.000  0.000  0.520
Ag  0.500  0.500  0.264
Pd  0.500  0.500  0.753

---

Entry from Alexandria via LeMat-Bulk: a geometry-optimized YHoAgPd structure (PBE-GGA).

## Properties
**Offset from the most stable computed form**: 12 meV per atom
**Density**: 8.57 g/cm3

a b c (Å): 5.044 5.044 5.044
angles (deg): 60.00 60.00 60.00
Fractional positions:
Y  0.000  0.000  0.000
Ho  0.500  0.500  0.500
Ag  0.750  0.750  0.750
Pd  0.250  0.250  0.250

---

no.,VASP energy (eV/cell)
1,-64.8
2,-22.3
3,-51.0
4,-65.9
5,-44.2
6,-87.2
7,-48.1
8,-38.3
9,-61.2
10,-27.7
11,-43.9
12,-45.1
13,-19.6
14,-19.6
15,-22.4
16,-22.1
17,-45.0
18,-21.2
19,-21.3
20,-19.1
21,-16.0
22,-16.6
23,-19.5
24,-19.6
25,-21.5
26,-21.5